# 1
# RbTlN2O

A relaxed RbTlN2O crystal (PBE-GGA, Alexandria via LeMat-Bulk).

Output
As for the space group: P4/mmm (123). The formation energy (no corrections) is 1831 meV/atom.

Lattice parameters (Å, degrees): 5.4194 5.4194 4.9982 90.00 90.00 90.00
With the nearest neighbours (Å) after each atom.
Fractional positions:
Tl 0.5000 0.5000 0.5000  8 N 3.69, 4 O 3.83
O 0.0000 0.0000 0.5000  2 Rb 2.50
Rb 0.0000 0.0000 0.0000  2 O 2.50, 4 N 2.71
N 0.0000 0.5000 0.0000  2 Rb 2.71
N 0.5000 0.0000 0.0000  2 Rb 2.71

---

# 2
# SrLa2As

A relaxed SrLa2As crystal (PBE-GGA, Alexandria via LeMat-Bulk).

Output
Its total energy is -4.2744 eV per atom. As for the space group: C2/m (12).

Lattice parameters (Å, degrees): 6.6638 6.6638 3.7457 75.46 75.46 119.43
With the nearest neighbours (Å) after each atom.
Fractional positions:
Sr 0.5000 0.0000 0.5000  4 As 3.36-3.58, 4 La 3.39, 2 Sr 3.75
As 0.0000 0.5000 0.5000  4 Sr 3.36-3.58, 4 La 3.39, 2 As 3.75
La 0.0000 0.0000 0.0000  6 La 3.36-3.75, 2 Sr 3.39, 2 As 3.39
La 0.5000 0.5000 0.0000  6 La 3.36-3.75, 2 As 3.39, 2 Sr 3.39

---

# 3
# AlSi8Ni2

A relaxed AlSi8Ni2 crystal (PBE-GGA, Alexandria via LeMat-Bulk).

Output
As for the space group: P4/mmm (123). The formation energy (no corrections) is 218 meV/atom.

Lattice parameters (Å, degrees): 3.6264 3.6264 12.0003 90.00 90.00 90.00
With the nearest neighbours (Å) after each atom.
Fractional positions:
Al 0.0000 0.0000 0.0000  8 Si 2.70
Ni 0.0000 0.0000 0.3080  8 Si 2.49-2.59
Ni 0.0000 0.0000 0.6920  8 Si 2.49-2.59
Si 0.0000 0.5000 0.5000  8 Si 2.56-2.66
Si 0.5000 0.0000 0.5000  8 Si 2.56-2.66
Si 0.5000 0.5000 0.3379  4 Ni 2.59, 8 Si 2.66-2.74
Si 0.5000 0.5000 0.6621  4 Ni 2.59, 8 Si 2.66-2.74
Si 0.0000 0.5000 0.1662  2 Ni 2.49, 6 Si 2.56-2.74, 2 Al 2.70
Si 0.5000 0.0000 0.1662  2 Ni 2.49, 6 Si 2.56-2.74, 2 Al 2.70
Si 0.0000 0.5000 0.8338  2 Ni 2.49, 6 Si 2.56-2.74, 2 Al 2.70
Si 0.5000 0.0000 0.8338  2 Ni 2.49, 6 Si 2.56-2.74, 2 Al 2.70

---

# 4
# Nd4GeI5

A relaxed Nd4GeI5 crystal (PBE-GGA, Alexandria via LeMat-Bulk).

Output
As for the space group: C2/m (12). The formation energy (no corrections) is -1260 meV/atom.

Lattice parameters (Å, degrees): 4.3309 9.1097 10.0509 102.34 102.44 90.00
With the nearest neighbours (Å) after each atom.
Fractional positions:
Nd 0.3514 0.9263 0.7028  1 Ge 2.85, 2 I 3.19
Nd 0.0001 0.7845 0.0003  2 Ge 2.92, 1 I 3.21
Nd 0.6486 0.0737 0.2972  1 Ge 2.85, 2 I 3.19
Nd 0.9999 0.2155 0.9997  2 Ge 2.92, 1 I 3.21
Ge 0.5000 0.0000 0.0000  6 Nd 2.85-2.92
I 0.8335 0.6638 0.6671  3 Nd 3.19-3.21
I 0.8290 0.1750 0.6579  4 Nd 3.23-3.46
I 0.1710 0.8250 0.3421  4 Nd 3.23-3.46
I 0.5000 0.5000 0.0000  4 Nd 3.38
I 0.1665 0.3362 0.3329  3 Nd 3.19-3.21